(1)
Material: TlAsIr2
Method: DFT, PBE-GGA
State: relaxed

POSCAR file:
```
TlAsIr2
1.0
3.745 -1.516 0.000
3.745 1.516 0.000
-2.485 0.000 6.823
Tl As Ir
1 1 2
Cartesian
0.000 0.000 0.000
2.503 0.000 3.411
0.364 0.000 4.634
4.641 0.000 2.188
```

Output
* calculated total energy: -23.59 eV/cell
* D(E_F): 2.20 states/eV per cell
* offset from the most stable computed form: 0.044 eV/atom
* calculated formation energy: 0.288 eV/atom


(2)
Material: DyAl6Fe3
Method: DFT, PBE-GGA
State: relaxed

POSCAR file:
```
DyAl6Fe3
1.0
2.680 1.547 6.394
-2.680 1.547 6.394
0.000 -3.094 6.394
Dy Al Fe
1 6 3
Cartesian
0.000 0.000 0.000
-1.334 -0.770 8.365
0.000 -1.546 10.939
-1.339 0.773 10.939
1.334 -0.770 8.365
0.000 1.541 8.365
1.339 0.773 10.939
0.000 0.000 6.534
0.000 0.000 12.893
0.000 0.000 16.550
```

Output
* calculated total energy: -54.91 eV/cell
* D(E_F): 3.58 states/eV per cell
* calculated formation energy: -0.247 eV/atom


(3)
Material: NdTm7Sc3
Method: DFT, PBE-GGA
State: relaxed

POSCAR file:
```
NdTm7Sc3
1.0
6.895 0.000 0.000
-3.448 5.971 0.000
0.000 0.000 8.209
Nd Tm Sc
1 7 3
Cartesian
0.000 0.000 0.000
-1.709 2.994 0.062
1.711 0.988 5.402
0.000 3.981 5.455
1.709 2.994 0.062
0.000 5.954 0.062
5.184 0.988 5.402
3.448 3.995 5.402
0.000 2.007 2.748
-1.709 4.968 2.748
1.709 4.968 2.748
```

Output
* calculated total energy: -52.55 eV/cell
* D(E_F): 18.40 states/eV per cell
* offset from the most stable computed form: 0.065 eV/atom
* calculated formation energy: 0.228 eV/atom


(4)
Material: Pm12DyEr7
Method: DFT, PBE-GGA
State: relaxed

POSCAR file:
```
Pm12DyEr7
1.0
6.035 3.484 5.375
-6.035 3.484 5.375
0.000 -6.969 5.375
Pm Dy Er
12 1 7
Cartesian
-1.932 -0.594 4.672
-0.744 -3.260 7.161
-3.195 -0.985 8.964
1.481 -1.376 4.672
-2.451 2.275 7.161
0.452 1.970 4.672
-0.452 -1.970 11.454
2.451 -2.275 8.964
-1.481 1.376 11.454
3.195 0.985 7.161
0.744 3.260 8.964
1.932 0.594 11.454
0.000 0.000 0.000
-5.310 0.575 6.726
-3.153 -4.311 9.400
2.157 -4.886 6.726
0.000 0.000 8.063
-2.157 4.886 9.400
3.153 4.311 6.726
5.310 -0.575 9.400
```

Output
* calculated total energy: -89.00 eV/cell
* D(E_F): 38.19 states/eV per cell
* offset from the most stable computed form: 0.000 eV/atom
* calculated formation energy: 0.228 eV/atom


(5)
Material: Ce2ZrAl3
Method: DFT, PBE-GGA
State: relaxed

POSCAR file:
```
Ce2ZrAl3
1.0
5.692 0.000 0.000
-2.846 4.929 0.000
0.000 0.000 9.505
Ce Zr Al
4 2 6
Cartesian
0.000 3.286 0.481
0.000 3.286 4.272
2.846 1.643 5.234
2.846 1.643 9.024
0.000 0.000 0.000
0.000 0.000 4.753
0.000 1.688 7.129
-1.384 4.085 7.129
1.462 0.844 2.376
1.384 4.085 7.129
4.230 0.844 2.376
2.846 3.241 2.376
```

Output
* calculated total energy: -67.64 eV/cell
* D(E_F): 16.69 states/eV per cell
* offset from the most stable computed form: 0.005 eV/atom
* calculated formation energy: -0.362 eV/atom


(6)
Material: LiCa2Mg
Method: DFT, PBE-GGA
State: relaxed

POSCAR file:
```
LiCa2Mg
1.0
0.000 3.951 3.951
3.951 0.000 3.951
3.951 3.951 0.000
Li Ca Mg
1 2 1
Cartesian
0.000 0.000 0.000
1.975 1.975 1.975
3.951 3.951 3.951
5.926 5.926 5.926
```

Output
* calculated total energy: -7.23 eV/cell
* D(E_F): 5.96 states/eV per cell
* calculated formation energy: 0.070 eV/atom